The following is a DFT calculation (PBE) of crystalline SrLiSb2Rh at its relaxed geometry.

Lattice parameters (Å, degrees): 5.192 4.839 5.192 90.00 90.00 90.00
Fractional positions:
Li: 0.000 0.500 0.000
Rh: 0.000 0.000 0.000
Sb: 0.000 0.000 0.500
Sb: 0.500 0.000 0.000
Sr: 0.500 0.500 0.500

The formation energy (no corrections) is -443 meV per atom. As for the excess energy over the best structure of this formula in the dataset: 0.0562 eV/atom.

=====

The following is a DFT calculation (PBE) of crystalline CuHg2Br2O2 at its relaxed geometry.

Lattice parameters (Å, degrees): 3.831 6.561 6.406 62.51 72.60 73.02
Fractional positions:
O: 0.838 0.279 0.045
O: 0.162 0.721 0.955
Hg: 0.785 0.672 0.757
Hg: 0.215 0.328 0.243
Br: 0.418 0.806 0.358
Br: 0.582 0.194 0.642
Cu: 0.000 0.000 0.000

The formation energy (no corrections) is -254 meV per atom.

=====

The following is a DFT calculation (PBE) of crystalline Re4NiTe at its relaxed geometry.

Lattice parameters (Å, degrees): 5.256 5.256 5.256 60.00 60.00 60.00
Fractional positions:
Ni: 0.000 0.000 0.000
Re: 0.879 0.374 0.374
Re: 0.374 0.374 0.879
Re: 0.374 0.374 0.374
Re: 0.374 0.879 0.374
Te: 0.750 0.750 0.750

The formation energy (no corrections) is 877 meV per atom.

=====

The following is a DFT calculation (PBE) of crystalline Li5Hg5Pd2 at its relaxed geometry.

Lattice parameters (Å, degrees): 4.701 4.701 12.682 79.84 79.84 59.99
Fractional positions:
Pd: 0.922 0.922 0.217
Pd: 0.078 0.078 0.783
Li: 0.708 0.708 0.886
Li: 0.220 0.220 0.332
Li: 0.292 0.292 0.114
Li: 0.780 0.780 0.668
Li: 0.500 0.500 0.500
Hg: 0.000 0.000 0.000
Hg: 0.147 0.147 0.561
Hg: 0.853 0.853 0.439
Hg: 0.585 0.585 0.229
Hg: 0.415 0.415 0.771

For the formation enthalpy at 0 K, the calculation gives -0.321 eV/atom.

=====

The following is a DFT calculation (PBE) of crystalline CsK2InSn at its relaxed geometry.

Lattice parameters (Å, degrees): 6.878 6.878 5.896 90.00 90.00 90.00
Fractional positions:
K: 0.000 0.500 0.000
K: 0.500 0.000 0.000
Cs: 0.500 0.500 0.500
In: 0.000 0.000 0.500
Sn: 0.000 0.000 0.000

For the formation enthalpy at 0 K, the calculation gives -0.011 eV/atom.

=====

The following is a DFT calculation (PBE) of crystalline CuHg2Te at its relaxed geometry.

Lattice parameters (Å, degrees): 3.948 4.008 6.637 90.00 90.00 90.00
Fractional positions:
Hg: 0.500 0.500 0.000
Hg: 0.000 0.000 0.000
Te: 0.500 0.000 0.500
Cu: 0.000 0.500 0.500

The formation energy (no corrections) is 206 meV per atom.

=====

The following is a DFT calculation (PBE) of crystalline Dy2Tm3Sc8 at its relaxed geometry.

Lattice parameters (Å, degrees): 6.311 8.573 8.181 121.60 97.51 90.00
Fractional positions:
Tm: 0.000 0.177 0.000
Tm: 0.500 0.000 0.000
Tm: 0.000 0.823 0.000
Dy: 0.741 0.794 0.588
Dy: 0.259 0.206 0.412
Sc: 0.562 0.568 0.782
Sc: 0.562 0.215 0.782
Sc: 0.438 0.432 0.218
Sc: 0.760 0.217 0.435
Sc: 0.240 0.783 0.565
Sc: 0.128 0.420 0.840
Sc: 0.872 0.580 0.160
Sc: 0.438 0.785 0.218

For the formation enthalpy at 0 K, the calculation gives 0.301 eV/atom.

=====

The following is a DFT calculation (PBE) of crystalline PRhWS2 at its relaxed geometry.

Lattice parameters (Å, degrees): 4.588 4.588 4.756 90.00 90.00 90.00
Fractional positions:
Rh: 0.500 0.500 0.500
S: 0.500 0.000 0.000
S: 0.000 0.500 0.000
W: 0.000 0.000 0.000
P: 0.000 0.000 0.500

The formation energy (no corrections) is 725 meV per atom. As for the excess energy over the best structure of this formula in the dataset: 0.0000 eV/atom.

=====

The following is a DFT calculation (PBE) of crystalline Zn2CdCu2 at its relaxed geometry.

Lattice parameters (Å, degrees): 7.262 7.262 2.829 90.00 90.00 90.00
Fractional positions:
Cd: 0.000 0.000 0.000
Cd: 0.500 0.500 0.000
Cu: 0.331 0.169 0.500
Cu: 0.169 0.669 0.500
Cu: 0.831 0.331 0.500
Cu: 0.669 0.831 0.500
Zn: 0.627 0.127 0.000
Zn: 0.373 0.873 0.000
Zn: 0.127 0.373 0.000
Zn: 0.873 0.627 0.000

For the formation enthalpy at 0 K, the calculation gives -0.002 eV/atom. As for the excess energy over the best structure of this formula in the dataset: 0.0059 eV/atom.